PmCrO4F | GGA+U | relaxed Values from VASP.

Values from the calculation:
SG: P2_1/m
Calculated total energy, eV/atom: -7.18

Structure (Quantum ESPRESSO input):
```
&SYSTEM
  ibrav = 0, nat = 14, ntyp = 4
/
ATOMIC_SPECIES
Pm 145.00 Pm.upf
Cr 52.00 Cr.upf
O 16.00 O.upf
F 19.00 F.upf
ATOMIC_POSITIONS crystal
Pm 0.052 0.250 0.378
Pm 0.948 0.750 0.622
Cr 0.214 0.750 0.228
Cr 0.786 0.250 0.772
O 0.080 0.750 0.982
O 0.101 0.570 0.342
O 0.101 0.930 0.342
O 0.420 0.250 0.717
O 0.580 0.750 0.283
O 0.899 0.070 0.658
O 0.899 0.430 0.658
O 0.920 0.250 0.018
F 0.472 0.750 0.689
F 0.528 0.250 0.311
CELL_PARAMETERS angstrom
4.596 0.000 0.000
0.000 7.415 0.000
-1.653 0.000 6.630
```

---

RbCrOF2 | GGA+U | relaxed Values from VASP.

Values from the calculation:
SG: P4/mmm
Energy above the lowest structure with this stoichiometry, meV per atom: 2006

Structure (Quantum ESPRESSO input):
```
&SYSTEM
  ibrav = 0, nat = 5, ntyp = 4
/
ATOMIC_SPECIES
Rb 85.47 Rb.upf
Cr 52.00 Cr.upf
O 16.00 O.upf
F 19.00 F.upf
ATOMIC_POSITIONS crystal
Rb 0.000 0.000 0.000
Cr 0.500 0.500 0.000
O 0.000 0.000 0.500
F 0.000 0.500 0.500
F 0.500 0.000 0.500
CELL_PARAMETERS angstrom
4.899 0.000 0.000
0.000 4.899 0.000
0.000 0.000 4.565
```

---

Rb2CrOF | GGA+U | relaxed Values from VASP.

Values from the calculation:
SG: P4/mmm
Energy above the lowest structure with this stoichiometry, meV per atom: 0

Structure (Quantum ESPRESSO input):
```
&SYSTEM
  ibrav = 0, nat = 5, ntyp = 4
/
ATOMIC_SPECIES
Rb 85.47 Rb.upf
Cr 52.00 Cr.upf
O 16.00 O.upf
F 19.00 F.upf
ATOMIC_POSITIONS crystal
Rb 0.000 0.500 0.000
Rb 0.500 0.000 0.000
Cr 0.000 0.000 0.500
O 0.500 0.500 0.500
F 0.000 0.000 0.000
CELL_PARAMETERS angstrom
5.367 0.000 0.000
0.000 5.367 0.000
0.000 0.000 4.240
```

---

RbCrOF2 | GGA+U | relaxed Values from VASP.

Values from the calculation:
SG: P4/mmm
Energy above the lowest structure with this stoichiometry, meV per atom: 1783

Structure (Quantum ESPRESSO input):
```
&SYSTEM
  ibrav = 0, nat = 5, ntyp = 4
/
ATOMIC_SPECIES
Rb 85.47 Rb.upf
Cr 52.00 Cr.upf
O 16.00 O.upf
F 19.00 F.upf
ATOMIC_POSITIONS crystal
Rb 0.000 0.000 0.000
Cr 0.500 0.500 0.500
O 0.000 0.000 0.500
F 0.000 0.500 0.000
F 0.500 0.000 0.000
CELL_PARAMETERS angstrom
4.816 0.000 0.000
0.000 4.816 0.000
0.000 0.000 4.423
```

---

RbCrOF2 | GGA+U | relaxed Values from VASP.

Values from the calculation:
SG: P4/mmm
Energy above the lowest structure with this stoichiometry, meV per atom: 0

Structure (Quantum ESPRESSO input):
```
&SYSTEM
  ibrav = 0, nat = 5, ntyp = 4
/
ATOMIC_SPECIES
Rb 85.47 Rb.upf
Cr 52.00 Cr.upf
O 16.00 O.upf
F 19.00 F.upf
ATOMIC_POSITIONS crystal
Rb 0.000 0.000 0.000
Cr 0.500 0.500 0.500
O 0.500 0.500 0.000
F 0.000 0.500 0.500
F 0.500 0.000 0.500
CELL_PARAMETERS angstrom
4.186 0.000 0.000
0.000 4.186 0.000
0.000 0.000 3.900
```

---

Rb2CrOF | GGA+U | relaxed Values from VASP.

Values from the calculation:
SG: P4/mmm
Energy above the lowest structure with this stoichiometry, meV per atom: 520

Structure (Quantum ESPRESSO input):
```
&SYSTEM
  ibrav = 0, nat = 5, ntyp = 4
/
ATOMIC_SPECIES
Rb 85.47 Rb.upf
Cr 52.00 Cr.upf
O 16.00 O.upf
F 19.00 F.upf
ATOMIC_POSITIONS crystal
Rb 0.000 0.500 0.000
Rb 0.500 0.000 0.000
Cr 0.000 0.000 0.500
O 0.500 0.500 0.500
F 0.500 0.500 0.000
CELL_PARAMETERS angstrom
5.089 0.000 0.000
0.000 5.089 0.000
0.000 0.000 5.666
```

---

CrReOF2 | GGA+U | relaxed Values from VASP.

Values from the calculation:
SG: P4/mmm
Energy above the lowest structure with this stoichiometry, meV per atom: 0

Structure (Quantum ESPRESSO input):
```
&SYSTEM
  ibrav = 0, nat = 5, ntyp = 4
/
ATOMIC_SPECIES
Cr 52.00 Cr.upf
Re 186.21 Re.upf
O 16.00 O.upf
F 19.00 F.upf
ATOMIC_POSITIONS crystal
Cr 0.000 0.000 0.000
Re 0.500 0.500 0.500
O 0.500 0.500 0.000
F 0.000 0.500 0.500
F 0.500 0.000 0.500
CELL_PARAMETERS angstrom
4.289 0.000 0.000
0.000 4.289 0.000
0.000 0.000 3.805
```

---

CrReOF2 | GGA+U | relaxed Values from VASP.

Values from the calculation:
SG: P4/mmm
Energy above the lowest structure with this stoichiometry, meV per atom: 350

Structure (Quantum ESPRESSO input):
```
&SYSTEM
  ibrav = 0, nat = 5, ntyp = 4
/
ATOMIC_SPECIES
Cr 52.00 Cr.upf
Re 186.21 Re.upf
O 16.00 O.upf
F 19.00 F.upf
ATOMIC_POSITIONS crystal
Cr 0.000 0.000 0.000
Re 0.500 0.500 0.500
O 0.000 0.000 0.500
F 0.000 0.500 0.000
F 0.500 0.000 0.000
CELL_PARAMETERS angstrom
4.075 0.000 0.000
0.000 4.075 0.000
0.000 0.000 4.088
```

---

CrRh2OF | GGA+U | relaxed Values from VASP.

Values from the calculation:
SG: P4/mmm
Calculated total energy, eV/atom: -5.90

Structure (Quantum ESPRESSO input):
```
&SYSTEM
  ibrav = 0, nat = 5, ntyp = 4
/
ATOMIC_SPECIES
Cr 52.00 Cr.upf
Rh 102.91 Rh.upf
O 16.00 O.upf
F 19.00 F.upf
ATOMIC_POSITIONS crystal
Cr 0.000 0.000 0.000
Rh 0.000 0.500 0.500
Rh 0.500 0.000 0.500
O 0.000 0.000 0.500
F 0.500 0.500 0.000
CELL_PARAMETERS angstrom
3.986 0.000 0.000
0.000 3.986 0.000
0.000 0.000 4.511
```

---

CrRuOF2 | GGA+U | relaxed Values from VASP.

Values from the calculation:
SG: P4/mmm
Energy above the lowest structure with this stoichiometry, meV per atom: 513

Structure (Quantum ESPRESSO input):
```
&SYSTEM
  ibrav = 0, nat = 5, ntyp = 4
/
ATOMIC_SPECIES
Cr 52.00 Cr.upf
Ru 101.07 Ru.upf
O 16.00 O.upf
F 19.00 F.upf
ATOMIC_POSITIONS crystal
Cr 0.000 0.000 0.000
Ru 0.500 0.500 0.500
O 0.500 0.500 0.000
F 0.000 0.500 0.500
F 0.500 0.000 0.500
CELL_PARAMETERS angstrom
4.348 0.000 0.000
0.000 4.348 0.000
0.000 0.000 3.732
```

---

CrRuO2F | GGA+U | relaxed Values from VASP.

Values from the calculation:
SG: P4/mmm
Calculated total energy, eV/atom: -6.49

Structure (Quantum ESPRESSO input):
```
&SYSTEM
  ibrav = 0, nat = 5, ntyp = 4
/
ATOMIC_SPECIES
Cr 52.00 Cr.upf
Ru 101.07 Ru.upf
O 16.00 O.upf
F 19.00 F.upf
ATOMIC_POSITIONS crystal
Cr 0.000 0.000 0.000
Ru 0.500 0.500 0.500
O 0.000 0.500 0.500
O 0.500 0.000 0.500
F 0.500 0.500 0.000
CELL_PARAMETERS angstrom
3.821 0.000 0.000
0.000 3.821 0.000
0.000 0.000 4.460
```

---

CrRuOF2 | GGA+U | relaxed Values from VASP.

Values from the calculation:
SG: P4/mmm
Energy above the lowest structure with this stoichiometry, meV per atom: 0

Structure (Quantum ESPRESSO input):
```
&SYSTEM
  ibrav = 0, nat = 5, ntyp = 4
/
ATOMIC_SPECIES
Cr 52.00 Cr.upf
Ru 101.07 Ru.upf
O 16.00 O.upf
F 19.00 F.upf
ATOMIC_POSITIONS crystal
Cr 0.000 0.000 0.000
Ru 0.500 0.500 0.500
O 0.000 0.000 0.500
F 0.000 0.500 0.000
F 0.500 0.000 0.000
CELL_PARAMETERS angstrom
3.999 0.000 0.000
0.000 3.999 0.000
0.000 0.000 3.993
```

---

CrRuO2F | GGA+U | relaxed Values from VASP.

Values from the calculation:
SG: P4/mmm
Calculated total energy, eV/atom: -6.05

Structure (Quantum ESPRESSO input):
```
&SYSTEM
  ibrav = 0, nat = 5, ntyp = 4
/
ATOMIC_SPECIES
Cr 52.00 Cr.upf
Ru 101.07 Ru.upf
O 16.00 O.upf
F 19.00 F.upf
ATOMIC_POSITIONS crystal
Cr 0.000 0.000 0.000
Ru 0.500 0.500 0.500
O 0.000 0.500 0.000
O 0.500 0.000 0.000
F 0.000 0.000 0.500
CELL_PARAMETERS angstrom
3.805 0.000 0.000
0.000 3.805 0.000
0.000 0.000 3.923
```

---

CrSbO2F | GGA+U | relaxed Values from VASP.

Values from the calculation:
SG: P4/mmm
Calculated total energy, eV/atom: -5.98

Structure (Quantum ESPRESSO input):
```
&SYSTEM
  ibrav = 0, nat = 5, ntyp = 4
/
ATOMIC_SPECIES
Cr 52.00 Cr.upf
Sb 121.76 Sb.upf
O 16.00 O.upf
F 19.00 F.upf
ATOMIC_POSITIONS crystal
Cr 0.000 0.000 0.000
Sb 0.500 0.500 0.500
O 0.000 0.500 0.000
O 0.500 0.000 0.000
F 0.000 0.000 0.500
CELL_PARAMETERS angstrom
4.004 0.000 0.000
0.000 4.004 0.000
0.000 0.000 3.944
```

---

CrSbO2F | GGA+U | relaxed Values from VASP.

Values from the calculation:
SG: P4/mmm
Calculated total energy, eV/atom: -5.72

Structure (Quantum ESPRESSO input):
```
&SYSTEM
  ibrav = 0, nat = 5, ntyp = 4
/
ATOMIC_SPECIES
Cr 52.00 Cr.upf
Sb 121.76 Sb.upf
O 16.00 O.upf
F 19.00 F.upf
ATOMIC_POSITIONS crystal
Cr 0.000 0.000 0.000
Sb 0.500 0.500 0.500
O 0.000 0.500 0.500
O 0.500 0.000 0.500
F 0.500 0.500 0.000
CELL_PARAMETERS angstrom
4.132 0.000 0.000
0.000 4.132 0.000
0.000 0.000 4.389
```

---

ScCrO2F | GGA+U | relaxed Values from VASP.

Values from the calculation:
SG: P4/mmm
Calculated total energy, eV/atom: -7.15

Structure (Quantum ESPRESSO input):
```
&SYSTEM
  ibrav = 0, nat = 5, ntyp = 4
/
ATOMIC_SPECIES
Sc 44.96 Sc.upf
Cr 52.00 Cr.upf
O 16.00 O.upf
F 19.00 F.upf
ATOMIC_POSITIONS crystal
Sc 0.000 0.000 0.000
Cr 0.500 0.500 0.500
O 0.000 0.500 0.500
O 0.500 0.000 0.500
F 0.500 0.500 0.000
CELL_PARAMETERS angstrom
3.920 0.000 0.000
0.000 3.920 0.000
0.000 0.000 3.851
```

---

ScCrO2F | GGA+U | relaxed Values from VASP.

Values from the calculation:
SG: P4/mmm
Calculated total energy, eV/atom: -7.31

Structure (Quantum ESPRESSO input):
```
&SYSTEM
  ibrav = 0, nat = 5, ntyp = 4
/
ATOMIC_SPECIES
Sc 44.96 Sc.upf
Cr 52.00 Cr.upf
O 16.00 O.upf
F 19.00 F.upf
ATOMIC_POSITIONS crystal
Sc 0.000 0.000 0.000
Cr 0.500 0.500 0.500
O 0.000 0.500 0.000
O 0.500 0.000 0.000
F 0.000 0.000 0.500
CELL_PARAMETERS angstrom
4.109 0.000 0.000
0.000 4.109 0.000
0.000 0.000 3.960
```

---

CrSeO2F | GGA+U | relaxed Values from VASP.

Values from the calculation:
SG: P4/mmm
Calculated total energy, eV/atom: -5.07

Structure (Quantum ESPRESSO input):
```
&SYSTEM
  ibrav = 0, nat = 5, ntyp = 4
/
ATOMIC_SPECIES
Cr 52.00 Cr.upf
Se 78.96 Se.upf
O 16.00 O.upf
F 19.00 F.upf
ATOMIC_POSITIONS crystal
Cr 0.000 0.000 0.000
Se 0.000 0.000 0.500
O 0.000 0.500 0.500
O 0.500 0.000 0.500
F 0.500 0.500 0.000
CELL_PARAMETERS angstrom
3.701 0.000 0.000
0.000 3.701 0.000
0.000 0.000 5.363
```

---

CrSeO2F | GGA+U | relaxed Values from VASP.

Values from the calculation:
SG: P4/mmm
Calculated total energy, eV/atom: -5.08

Structure (Quantum ESPRESSO input):
```
&SYSTEM
  ibrav = 0, nat = 5, ntyp = 4
/
ATOMIC_SPECIES
Cr 52.00 Cr.upf
Se 78.96 Se.upf
O 16.00 O.upf
F 19.00 F.upf
ATOMIC_POSITIONS crystal
Cr 0.000 0.000 0.000
Se 0.500 0.500 0.500
O 0.000 0.500 0.500
O 0.500 0.000 0.500
F 0.500 0.500 0.000
CELL_PARAMETERS angstrom
3.904 0.000 0.000
0.000 3.904 0.000
0.000 0.000 4.481
```

---

CrSeO2F | GGA+U | relaxed Values from VASP.

Values from the calculation:
SG: P4/mmm
Calculated total energy, eV/atom: -4.97

Structure (Quantum ESPRESSO input):
```
&SYSTEM
  ibrav = 0, nat = 5, ntyp = 4
/
ATOMIC_SPECIES
Cr 52.00 Cr.upf
Se 78.96 Se.upf
O 16.00 O.upf
F 19.00 F.upf
ATOMIC_POSITIONS crystal
Cr 0.000 0.000 0.000
Se 0.500 0.500 0.500
O 0.000 0.500 0.000
O 0.500 0.000 0.000
F 0.000 0.000 0.500
CELL_PARAMETERS angstrom
3.875 0.000 0.000
0.000 3.875 0.000
0.000 0.000 3.867
```

---

no.,total magnetic moment (μB per formula unit)
1,0.00
2,3.00
3,5.00
4,4.14
5,3.00
6,5.25
7,5.08
8,8.83
9,3.12
10,2.11
11,5.90
12,6.64
13,3.00
14,3.04
15,4.96
16,3.97
17,4.00
18,4.76
19,4.74
20,0.83